Crystalline ScNi2BiO6 at its relaxed geometry, computed with PBE+U.

Structure (POSCAR):
```
ScNi2BiO6
1.0
2.6629 1.5374 4.7862
-2.6629 1.5374 4.7862
0.0000 -3.0749 4.7862
Sc Ni Bi O
1 2 1 6
direct
0.0000 0.0000 0.0000
0.2915 0.2915 0.2915
0.7922 0.7922 0.7922
0.4958 0.4958 0.4958
0.0859 0.6924 0.3999
0.1868 0.5898 0.9029
0.3999 0.0859 0.6924
0.5898 0.9029 0.1868
0.6924 0.3999 0.0859
0.9029 0.1868 0.5898
```

Output
E_tot = -61.17 eV per cell
space-group type = R3, No. 146